## one
VASP calculation (PBE-GGA) on crystalline Pm2Sn3Rh2 at its relaxed geometry.

Computed properties:
The density of states at the Fermi level comes out at 10.4 states/eV per cell. The calculated volume comes out at 22.77 Å³ per atom. The calculation puts the total magnetization at 0.00 Bohr magnetons per cell.

a = 10.702 Å, b = 4.424 Å, c = 7.380 Å
α = 90.00°, β = 114.14°, γ = 90.00°
Space group C2/m (No. 12)
Symmetry-distinct sites (fractional):
Pm  0.149  0.000  0.292 (multiplicity 4)
Sn  0.000  0.500  0.500 (multiplicity 2)
Sn  0.126  0.500  0.950 (multiplicity 4)
Rh  0.138  0.000  0.714 (multiplicity 4)

=====

## two
VASP calculation (PBE-GGA) on crystalline Pm2Sn3Rh2 at its relaxed geometry.

Computed properties:
The density of states at the Fermi level comes out at 19.5 states/eV per cell. The calculated volume comes out at 23.33 Å³ per atom. The calculation puts the total magnetization at 0.00 Bohr magnetons per cell.

a = 4.410 Å, b = 19.765 Å, c = 7.496 Å
α = 90.00°, β = 90.00°, γ = 90.00°
Space group Cmcm (No. 63)
Symmetry-distinct sites (fractional):
Pm  0.000  0.050  0.250 (multiplicity 4)
Pm  0.000  0.167  0.750 (multiplicity 4)
Sn  0.000  0.214  0.250 (multiplicity 4)
Sn  0.000  0.431  0.057 (multiplicity 8)
Rh  0.000  0.301  0.543 (multiplicity 8)

=====

Relative energies with respect to the most stable structure, expressed in kJ/mol of atoms: one 0.0; two 1.0.

=====

## one
VASP calculation (PBE-GGA) on crystalline SrPm2Rh at its relaxed geometry.

Computed properties:
The density of states at the Fermi level comes out at 12.5 states/eV per cell. The calculated volume comes out at 36.87 Å³ per atom. The calculation puts the total magnetization at 0.00 Bohr magnetons per cell.

a = 4.1455 Å, b = 4.1455 Å, c = 29.7307 Å
α = 90.00°, β = 90.00°, γ = 120.00°
Space group R-3m (No. 166, hexagonal axes)
Symmetry-distinct sites (fractional):
Sr  0.0000  0.0000  0.0000 (multiplicity 3)
Pm  0.0000  0.0000  0.2168 (multiplicity 6)
Rh  0.0000  0.0000  0.5000 (multiplicity 3)

=====

## two
VASP calculation (PBE-GGA) on crystalline SrPm2Rh at its relaxed geometry.

Computed properties:
The density of states at the Fermi level comes out at 13.3 states/eV per cell. The calculated volume comes out at 36.30 Å³ per atom. The calculation puts the total magnetization at 0.00 Bohr magnetons per cell.

a = 4.1697 Å, b = 4.1697 Å, c = 28.9287 Å
α = 90.00°, β = 90.00°, γ = 120.00°
Space group R3m (No. 160, hexagonal axes)
Symmetry-distinct sites (fractional):
Sr  0.0000  0.0000  0.0000 (multiplicity 3)
Pm  0.0000  0.0000  0.5493 (multiplicity 3)
Pm  0.0000  0.0000  0.7806 (multiplicity 3)
Rh  0.0000  0.0000  0.1650 (multiplicity 3)

=====

## three
VASP calculation (PBE-GGA) on crystalline SrPm2Rh at its relaxed geometry.

Computed properties:
The density of states at the Fermi level comes out at 4.1 states/eV per cell. The calculated volume comes out at 32.52 Å³ per atom. The calculation puts the total magnetization at 0.00 Bohr magnetons per cell.

a = 3.618 Å, b = 3.618 Å, c = 9.936 Å
α = 90.00°, β = 90.00°, γ = 90.00°
Space group P4/mmm (No. 123)
Symmetry-distinct sites (fractional):
Sr  0.000  0.000  0.000 (multiplicity 1)
Pm  0.500  0.500  0.336 (multiplicity 2)
Rh  0.000  0.000  0.500 (multiplicity 1)

=====

Relative energies with respect to the most stable structure, expressed in kJ/mol of atoms: one 1.0; two 0.0; three 7.6.

=====

## one
VASP calculation (PBE-GGA) on crystalline PmTaRh2 at its relaxed geometry.

Computed properties:
The density of states at the Fermi level comes out at 3.4 states/eV per cell. The calculated volume comes out at 19.00 Å³ per atom. The calculation puts the total magnetization at 0.00 Bohr magnetons per cell.

a = 3.197 Å, b = 3.197 Å, c = 7.439 Å
α = 90.00°, β = 90.00°, γ = 90.00°
Space group P4/mmm (No. 123)
Symmetry-distinct sites (fractional):
Pm  0.000  0.000  0.000 (multiplicity 1)
Ta  0.000  0.000  0.500 (multiplicity 1)
Rh  0.500  0.500  0.302 (multiplicity 2)

=====

## two
VASP calculation (PBE-GGA) on crystalline PmTaRh2 at its relaxed geometry.

Computed properties:
The density of states at the Fermi level comes out at 11.7 states/eV per cell. The calculated volume comes out at 20.61 Å³ per atom. The calculation puts the total magnetization at 0.00 Bohr magnetons per cell.

a = 4.3429 Å, b = 4.3429 Å, c = 15.1406 Å
α = 90.00°, β = 90.00°, γ = 120.00°
Space group R-3m (No. 166, hexagonal axes)
Symmetry-distinct sites (fractional):
Pm  0.0000  0.0000  0.0000 (multiplicity 3)
Ta  0.0000  0.0000  0.5000 (multiplicity 3)
Rh  0.0000  0.0000  0.2155 (multiplicity 6)

=====

## three
VASP calculation (PBE-GGA) on crystalline PmTaRh2 at its relaxed geometry.

Computed properties:
The density of states at the Fermi level comes out at 4.6 states/eV per cell. The calculated volume comes out at 18.53 Å³ per atom. The calculation puts the total magnetization at 0.00 Bohr magnetons per cell.

a = 4.916 Å, b = 4.916 Å, c = 3.067 Å
α = 90.00°, β = 90.00°, γ = 90.00°
Space group P4/mmm (No. 123)
Symmetry-distinct sites (fractional):
Pm  0.000  0.000  0.000 (multiplicity 1)
Ta  0.500  0.500  0.000 (multiplicity 1)
Rh  0.000  0.500  0.500 (multiplicity 2)

=====

Relative energies with respect to the most stable structure, expressed in kJ/mol of atoms: one 0.0; two 7.4; three 18.2.

=====

## one
VASP calculation (PBE-GGA) on crystalline TbPmRh at its relaxed geometry.

Computed properties:
The density of states at the Fermi level comes out at 12.9 states/eV per cell. The calculated volume comes out at 27.32 Å³ per atom. The calculation puts the total magnetization at 0.00 Bohr magnetons per cell.

a = 6.895 Å, b = 6.895 Å, c = 6.895 Å
α = 90.00°, β = 90.00°, γ = 90.00°
Space group F-43m (No. 216)
Symmetry-distinct sites (fractional):
Tb  0.000  0.000  0.000 (multiplicity 4)
Pm  0.000  0.000  0.500 (multiplicity 4)
Rh  0.250  0.250  0.250 (multiplicity 4)

=====

## two
VASP calculation (PBE-GGA) on crystalline TbPmRh at its relaxed geometry.

Computed properties:
The density of states at the Fermi level comes out at 2.3 states/eV per cell. The calculated volume comes out at 25.76 Å³ per atom. The calculation puts the total magnetization at 0.00 Bohr magnetons per cell.

a = 4.5495 Å, b = 4.5495 Å, c = 4.3121 Å
α = 90.00°, β = 90.00°, γ = 120.00°
Space group P3m1 (No. 156)
Symmetry-distinct sites (fractional):
Tb  0.0000  0.0000  0.0000 (multiplicity 1)
Pm  0.3333  0.6667  0.4697 (multiplicity 1)
Rh  0.6667  0.3333  0.7617 (multiplicity 1)

=====

## three
VASP calculation (PBE-GGA) on crystalline TbPmRh at its relaxed geometry.

Computed properties:
The density of states at the Fermi level comes out at 7.2 states/eV per cell. The calculated volume comes out at 26.14 Å³ per atom. The calculation puts the total magnetization at 0.00 Bohr magnetons per cell.

a = 4.731 Å, b = 4.731 Å, c = 7.007 Å
α = 90.00°, β = 90.00°, γ = 90.00°
Space group P4/nmm (No. 129, origin choice 2)
Symmetry-distinct sites (fractional):
Tb  0.250  0.750  0.000 (multiplicity 2)
Pm  0.250  0.250  0.380 (multiplicity 2)
Rh  0.250  0.250  0.768 (multiplicity 2)

=====

Relative energies with respect to the most stable structure, expressed in kJ/mol of atoms: one 1.0; two 13.7; three 0.0.

=====

## one
VASP calculation (PBE-GGA) on crystalline TbPmRh at its relaxed geometry.

Computed properties:
The density of states at the Fermi level comes out at 7.1 states/eV per cell. The calculated volume comes out at 26.28 Å³ per atom. The calculation puts the total magnetization at 0.00 Bohr magnetons per cell.

a = 3.506 Å, b = 3.506 Å, c = 12.826 Å
α = 90.00°, β = 90.00°, γ = 90.00°
Space group I4mm (No. 107)
Symmetry-distinct sites (fractional):
Tb  0.000  0.000  0.000 (multiplicity 2)
Pm  0.000  0.000  0.259 (multiplicity 2)
Rh  0.000  0.000  0.623 (multiplicity 2)

=====

## two
VASP calculation (PBE-GGA) on crystalline TbPmRh at its relaxed geometry.

Computed properties:
The density of states at the Fermi level comes out at 13.0 states/eV per cell. The calculated volume comes out at 26.66 Å³ per atom. The calculation puts the total magnetization at 0.00 Bohr magnetons per cell.

a = 12.363 Å, b = 3.819 Å, c = 8.250 Å
α = 90.00°, β = 124.78°, γ = 90.00°
Space group Cm (No. 8)
Symmetry-distinct sites (fractional):
Tb  0.000  0.000  0.000 (multiplicity 2)
Tb  0.091  0.500  0.694 (multiplicity 2)
Pm  0.256  0.500  0.467 (multiplicity 2)
Pm  0.339  0.000  0.160 (multiplicity 2)
Rh  0.044  0.000  0.385 (multiplicity 2)
Rh  0.299  0.000  0.781 (multiplicity 2)

=====

Relative energies with respect to the most stable structure, expressed in kJ/mol of atoms: one 8.6; two 0.0.

=====

## one
VASP calculation (PBE-GGA) on crystalline Tb2PmRh2 at its relaxed geometry.

Computed properties:
The density of states at the Fermi level comes out at 14.4 states/eV per cell. The calculated volume comes out at 24.90 Å³ per atom. The calculation puts the total magnetization at 0.00 Bohr magnetons per cell.

a = 3.884 Å, b = 17.072 Å, c = 7.510 Å
α = 90.00°, β = 90.00°, γ = 90.00°
Space group Cmc2_1 (No. 36)
Symmetry-distinct sites (fractional):
Tb  0.000  0.031  0.000 (multiplicity 4)
Tb  0.000  0.186  0.722 (multiplicity 4)
Pm  0.000  0.375  0.833 (multiplicity 4)
Rh  0.000  0.197  0.108 (multiplicity 4)
Rh  0.000  0.449  0.201 (multiplicity 4)

=====

## two
VASP calculation (PBE-GGA) on crystalline Tb2PmRh2 at its relaxed geometry.

Computed properties:
The density of states at the Fermi level comes out at 14.1 states/eV per cell. The calculated volume comes out at 25.22 Å³ per atom. The calculation puts the total magnetization at 0.35 Bohr magnetons per cell.

a = 3.757 Å, b = 31.404 Å, c = 4.276 Å
α = 90.00°, β = 90.00°, γ = 90.00°
Space group Cmcm (No. 63)
Symmetry-distinct sites (fractional):
Tb  0.000  0.047  0.250 (multiplicity 4)
Tb  0.000  0.287  0.750 (multiplicity 4)
Pm  0.000  0.378  0.250 (multiplicity 4)
Rh  0.000  0.146  0.250 (multiplicity 4)
Rh  0.000  0.469  0.250 (multiplicity 4)

=====

Relative energies with respect to the most stable structure, expressed in kJ/mol of atoms: one 2.5; two 0.0.